This record from Alexandria via LeMat-Bulk describes La3SmY6 after structural relaxation. The functional is PBE-GGA.

Properties
The calculation puts the total magnetic moment at 0.000 μB per formula unit. As for the space group: No. 36. For the formation energy from the elements, the calculation gives 219 meV per atom.

```
20
Lattice="6.895 -7.568 0.000 6.895 7.568 0.000 0.000 0.000 6.662" Properties=species:S:1:pos:R:3 pbc="T T T"
La 6.895 5.781 3.331
La 4.223 0.907 5.116
La 4.223 -0.907 1.785
La 9.566 0.907 5.116
La 9.566 -0.907 1.785
La 6.895 -5.781 0.000
Sm 6.895 2.689 2.655
Sm 6.895 -2.689 5.987
Y 1.640 1.230 3.301
Y 3.540 3.091 1.081
Y 1.640 -1.230 6.632
Y 6.895 3.451 5.942
Y 3.540 -3.091 4.412
Y 6.895 0.426 0.587
Y 6.895 -0.426 3.918
Y 10.250 3.091 1.081
Y 6.895 -3.451 2.611
Y 12.149 1.230 3.301
Y 10.250 -3.091 4.412
Y 12.149 -1.230 6.632
```



This record from Alexandria via LeMat-Bulk describes La2SmY8 after structural relaxation. The functional is PBE-GGA.

Properties
The calculation puts the total magnetic moment at 0.000 μB per formula unit. As for the space group: No. 12. For the formation energy from the elements, the calculation gives 158 meV per atom.

```
11
Lattice="4.560 -8.062 0.000 4.560 8.062 0.000 -3.124 0.000 5.085" Properties=species:S:1:pos:R:3 pbc="T T T"
La 4.560 4.905 0.000
La 4.560 -4.905 0.000
Sm 2.998 0.000 2.543
Y -0.221 0.000 1.516
Y 0.013 1.836 4.242
Y 2.998 3.373 2.543
Y 0.013 -1.836 4.242
Y 5.983 1.836 0.843
Y 2.998 -3.373 2.543
Y 5.983 -1.836 0.843
Y 6.217 0.000 3.569
```



This record from Alexandria via LeMat-Bulk describes La3SmY2 after structural relaxation. The functional is PBE-GGA.

Properties
The calculation puts the total magnetic moment at 0.000 μB per formula unit. As for the space group: No. 12. For the formation energy from the elements, the calculation gives 6 meV per atom.

```
12
Lattice="3.187 -5.524 0.000 3.187 5.524 0.000 -2.126 0.000 11.799" Properties=species:S:1:pos:R:3 pbc="T T T"
La 1.061 1.844 2.938
La -0.003 0.000 8.862
La 1.061 -1.844 2.938
La 3.188 1.844 8.861
La 4.253 0.000 2.937
La 3.188 -1.844 8.861
Sm 2.125 3.682 5.900
Sm 2.125 -3.682 5.900
Y 0.000 0.000 0.000
Y 3.187 1.840 0.000
Y 2.125 0.000 5.900
Y 3.187 -1.840 0.000
```



This record from Alexandria via LeMat-Bulk describes La12Sm3Y after structural relaxation. The functional is PBE-GGA.

Properties
The calculation puts the total magnetic moment at 0.000 μB per formula unit. As for the space group: No. 123. For the formation energy from the elements, the calculation gives 7 meV per atom.

```
16
Lattice="5.229 0.000 0.000 0.000 5.229 0.000 0.000 0.000 20.926" Properties=species:S:1:pos:R:3 pbc="T T T"
La 0.000 0.000 0.000
La 0.000 0.000 5.239
La 0.000 0.000 10.463
La 0.000 0.000 15.687
La 0.000 2.615 2.625
La 0.000 2.615 7.855
La 0.000 2.615 13.072
La 0.000 2.615 18.302
La 2.615 0.000 2.625
La 2.615 0.000 7.855
La 2.615 0.000 13.072
La 2.615 0.000 18.302
Sm 2.615 2.615 0.000
Sm 2.615 2.615 5.248
Sm 2.615 2.615 15.678
Y 2.615 2.615 10.463
```



This record from Alexandria via LeMat-Bulk describes La3Sm2Y7 after structural relaxation. The functional is PBE-GGA.

Properties
The calculation puts the total magnetic moment at 0.000 μB per formula unit. As for the space group: No. 2. For the formation energy from the elements, the calculation gives 88 meV per atom.

```
12
Lattice="3.645 0.000 0.000 0.000 5.814 0.000 1.810 1.105 19.380" Properties=species:S:1:pos:R:3 pbc="T T T"
La 0.000 0.000 0.000
La 1.823 1.994 6.926
La 3.633 4.925 12.454
Sm 1.809 2.026 13.814
Sm 3.646 4.893 5.567
Y 1.809 4.948 16.044
Y 1.814 2.009 10.505
Y 1.823 4.872 2.733
Y 1.823 2.907 0.000
Y 3.632 2.047 16.647
Y 3.641 4.909 8.875
Y 3.646 1.970 3.336
```



This record from Alexandria via LeMat-Bulk describes La6Sm2Y after structural relaxation. The functional is PBE-GGA.

Properties
The calculation puts the total magnetic moment at 0.000 μB per formula unit. As for the space group: No. 65. For the formation energy from the elements, the calculation gives 115 meV per atom.

```
9
Lattice="4.785 -9.038 0.000 4.785 9.038 0.000 0.000 0.000 3.710" Properties=species:S:1:pos:R:3 pbc="T T T"
La 1.647 2.973 0.000
La 1.697 0.000 1.855
La 1.647 -2.973 0.000
La 7.923 2.973 0.000
La 7.873 0.000 1.855
La 7.923 -2.973 0.000
Sm 4.785 3.135 1.855
Sm 4.785 -3.135 1.855
Y 4.785 0.000 0.000
```



This record from Alexandria via LeMat-Bulk describes La2Sm6Y3 after structural relaxation. The functional is PBE-GGA.

Properties
The calculation puts the total magnetic moment at 0.000 μB per formula unit. As for the space group: No. 12. For the formation energy from the elements, the calculation gives 171 meV per atom.

```
11
Lattice="3.111 -5.394 0.000 3.111 5.394 0.000 -2.104 0.000 11.739" Properties=species:S:1:pos:R:3 pbc="T T T"
La 3.111 3.592 0.000
La 3.111 -3.592 0.000
Sm -0.021 1.798 8.760
Sm 1.026 0.000 2.979
Sm -0.021 -1.798 8.760
Sm 4.139 1.798 2.980
Sm 3.092 0.000 8.761
Sm 4.139 -1.798 2.980
Y -1.052 0.000 5.870
Y 2.059 1.784 5.870
Y 2.059 -1.784 5.870
```



This record from Alexandria via LeMat-Bulk describes La6Sm3Y after structural relaxation. The functional is PBE-GGA.

Properties
The calculation puts the total magnetic moment at 0.000 μB per formula unit. As for the space group: No. 36. For the formation energy from the elements, the calculation gives 119 meV per atom.

```
20
Lattice="5.459 -9.791 0.000 5.459 9.791 0.000 0.000 0.000 6.646" Properties=species:S:1:pos:R:3 pbc="T T T"
La 5.459 9.209 3.323
La 3.054 4.075 0.089
La 5.459 4.243 2.045
La 3.562 0.783 1.339
La 3.562 -0.783 4.662
La 3.054 -4.075 3.412
La 7.865 4.075 0.089
La 7.357 0.783 1.339
La 7.357 -0.783 4.662
La 5.459 -4.243 5.367
La 7.865 -4.075 3.412
La 5.459 -9.209 0.000
Sm 1.912 2.328 4.079
Sm 1.912 -2.328 0.757
Sm 5.459 2.264 4.845
Sm 5.459 -2.264 1.522
Sm 9.007 2.328 4.079
Sm 9.007 -2.328 0.757
Y 5.459 6.144 4.982
Y 5.459 -6.144 1.659
```



This record from Alexandria via LeMat-Bulk describes LaSm7Y12 after structural relaxation. The functional is PBE-GGA.

Properties
The calculation puts the total magnetic moment at 0.000 μB per formula unit. As for the space group: No. 229. For the formation energy from the elements, the calculation gives 631 meV per atom.

```
20
Lattice="-5.674 5.674 5.674 5.674 -5.674 5.674 5.674 5.674 -5.674" Properties=species:S:1:pos:R:3 pbc="T T T"
La 0.000 0.000 0.000
Sm 2.837 2.837 -2.837
Sm 2.837 -2.837 2.837
Sm 5.674 0.000 0.000
Sm -2.837 2.837 2.837
Sm 0.000 5.674 0.000
Sm 0.000 0.000 5.674
Sm 2.837 2.837 2.837
Y 5.674 2.804 -2.804
Y 5.674 -2.804 2.804
Y 2.804 5.674 -2.804
Y 2.869 2.869 0.000
Y 2.869 0.000 2.869
Y 2.804 -2.804 5.674
Y 5.674 2.804 2.804
Y 0.000 2.869 2.869
Y -2.804 5.674 2.804
Y -2.804 2.804 5.674
Y 2.804 5.674 2.804
Y 2.804 2.804 5.674
```



This record from Alexandria via LeMat-Bulk describes La3SmY3 after structural relaxation. The functional is PBE-GGA.

Properties
The calculation puts the total magnetic moment at 0.000 μB per formula unit. As for the space group: No. 148. For the formation energy from the elements, the calculation gives 133 meV per atom.

```
14
Lattice="4.767 2.752 6.300 -4.767 2.752 6.300 0.000 -5.505 6.300" Properties=species:S:1:pos:R:3 pbc="T T T"
La -0.661 -3.502 7.748
La -3.364 -1.179 11.153
La -2.702 2.324 7.748
La 2.702 -2.324 11.153
La 3.364 1.179 7.748
La 0.661 3.502 11.153
Sm 0.000 0.000 7.722
Sm 0.000 0.000 11.179
Y -1.365 -1.533 4.899
Y -0.645 1.949 4.899
Y 2.010 -0.416 4.899
Y -2.010 0.416 14.002
Y 0.645 -1.949 14.002
Y 1.365 1.533 14.002
```



This record from Alexandria via LeMat-Bulk describes La3Sm2Y8 after structural relaxation. The functional is PBE-GGA.

Properties
The calculation puts the total magnetic moment at 0.003 μB per formula unit. As for the space group: No. 12. For the formation energy from the elements, the calculation gives 252 meV per atom.

```
13
Lattice="10.201 -3.885 0.000 10.201 3.885 0.000 -0.012 0.000 5.734" Properties=species:S:1:pos:R:3 pbc="T T T"
La 0.000 0.000 0.000
La 10.195 1.561 2.867
La 10.195 -1.561 2.867
Sm 4.912 0.000 5.718
Sm 15.478 0.000 0.016
Y 2.764 0.000 2.861
Y 7.980 1.621 5.730
Y 6.681 0.000 2.854
Y 12.410 1.621 0.004
Y 7.980 -1.621 5.730
Y 13.709 0.000 2.879
Y 12.410 -1.621 0.004
Y 17.627 0.000 2.873
```



This record from Alexandria via LeMat-Bulk describes La6SmY after structural relaxation. The functional is PBE-GGA.

Properties
The calculation puts the total magnetic moment at 0.000 μB per formula unit. As for the space group: No. 123. For the formation energy from the elements, the calculation gives 7 meV per atom.

```
8
Lattice="5.225 0.000 0.000 0.000 5.225 0.000 0.000 0.000 10.438" Properties=species:S:1:pos:R:3 pbc="T T T"
La 0.000 0.000 0.000
La 0.000 0.000 5.219
La 0.000 2.612 2.609
La 0.000 2.612 7.829
La 2.612 0.000 2.609
La 2.612 0.000 7.829
Sm 2.612 2.612 0.000
Y 2.612 2.612 5.219
```



no.,total energy (eV per atom)
1,-5.6093
2,-5.8681
3,-5.3990
4,-4.9770
5,-5.7013
6,-4.9370
7,-5.0619
8,-4.8996
9,-5.1452
10,-5.4230
11,-5.5887
12,-5.0869